Record 1
A plane-wave DFT calculation with PBE-GGA was carried out for a relaxed UCoP2Rh2 crystal.

## Properties
Energy relative to the elements   -3.37 eV/f.u.

Cell lengths 3.8437, 3.8437, 7.3789 Å; angles 105.10, 105.10, 90.00 degrees
Closest atoms and distances in Å follow each position.
Sites, in units of the cell vectors:
Co 0.0000 0.0000 0.0000  2 P 2.10
Rh 0.2500 0.7500 0.5000  4 P 2.34
Rh 0.7500 0.2500 0.5000  4 P 2.34
P 0.8470 0.8470 0.6940  1 Co 2.10, 4 Rh 2.34
P 0.1530 0.1530 0.3060  1 Co 2.10, 4 Rh 2.34
U 0.5000 0.5000 0.0000  4 Co 2.72

***

Record 2
A plane-wave DFT calculation with PBE-GGA was carried out for a relaxed LiYCd2 crystal.

## Properties
Energy relative to the elements   -0.70 eV/f.u.

Cell lengths 5.8083, 5.8083, 5.8083 Å; angles 142.23, 127.18, 66.74 degrees
Closest atoms and distances in Å follow each position.
Sites, in units of the cell vectors:
Li 0.4766 0.4766 0.0000  2 Cd 2.86
Cd 0.2543 0.7543 0.5000  2 Li 2.86, 2 Cd 2.97, 4 Y 3.20
Cd 0.0168 0.0168 0.0000  2 Cd 2.97, 2 Y 3.18, 4 Li 3.22
Y 0.7523 0.2523 0.5000  8 Cd 3.18-3.45, 4 Li 3.27-3.38

***

Record 3
A plane-wave DFT calculation with PBE-GGA was carried out for a relaxed CaScCu2 crystal.

## Properties
Energy above the lowest structure with this stoichiometry   304 meV per atom
Energy relative to the elements   0.52 eV/f.u.

Cell lengths 4.6638, 4.6638, 4.6638 Å; angles 60.00, 60.00, 60.00 degrees
Closest atoms and distances in Å follow each position.
Sites, in units of the cell vectors:
Ca 0.5000 0.5000 0.5000  4 Sc 2.86, 4 Cu 2.86
Cu 0.2500 0.2500 0.2500  4 Ca 2.86, 4 Cu 2.86
Cu 0.0000 0.0000 0.0000  4 Cu 2.86, 4 Sc 2.86
Sc 0.7500 0.7500 0.7500  4 Ca 2.86, 4 Cu 2.86

***

Record 4
A plane-wave DFT calculation with PBE-GGA was carried out for a relaxed Li2AcErTl4 crystal.

## Properties
Energy relative to the elements   -2.51 eV/f.u.

Cell lengths 4.9859, 4.9859, 10.4221 Å; angles 76.16, 76.16, 60.00 degrees
Closest atoms and distances in Å follow each position.
Sites, in units of the cell vectors:
Ac 0.0000 0.0000 0.0000  8 Tl 3.42-3.64
Tl 0.6052 0.6052 0.1845  3 Li 3.08, 1 Er 3.16, 3 Tl 3.39, 3 Ac 3.42
Tl 0.8790 0.8790 0.3631  3 Li 2.96, 3 Er 3.19
Tl 0.1210 0.1210 0.6369  3 Li 2.96, 3 Er 3.19
Tl 0.3948 0.3948 0.8155  3 Li 3.08, 1 Er 3.16, 3 Tl 3.39, 3 Ac 3.42
Er 0.5000 0.5000 0.5000  8 Tl 3.16-3.19
Li 0.2354 0.2354 0.2939  6 Tl 2.96-3.08
Li 0.7646 0.7646 0.7061  6 Tl 2.96-3.08

***

Record 5
A plane-wave DFT calculation with PBE-GGA was carried out for a relaxed Pm3Pd2Au crystal.

## Properties
Energy above the lowest structure with this stoichiometry   0 meV per atom
Energy relative to the elements   -4.61 eV/f.u.

Cell lengths 3.6380, 3.6380, 10.8531 Å; angles 90.00, 90.00, 90.00 degrees
Closest atoms and distances in Å follow each position.
Sites, in units of the cell vectors:
Au 0.5000 0.5000 0.5000  8 Pm 3.18
Pm 0.0000 0.0000 0.0000  8 Pd 3.13
Pm 0.0000 0.0000 0.6727  4 Pd 3.12, 4 Au 3.18
Pm 0.0000 0.0000 0.3273  4 Pd 3.12, 4 Au 3.18
Pd 0.5000 0.5000 0.1639  8 Pm 3.12-3.13
Pd 0.5000 0.5000 0.8361  8 Pm 3.12-3.13

***

Record 6
A plane-wave DFT calculation with PBE-GGA was carried out for a relaxed NaPH2 crystal.

## Properties
Energy above the lowest structure with this stoichiometry   857 meV per atom

Cell lengths 3.9001, 3.9001, 3.9001 Å; angles 60.00, 60.00, 60.00 degrees
Closest atoms and distances in Å follow each position.
Sites, in units of the cell vectors:
H 0.2500 0.2500 0.2500  4 Na 2.39, 4 P 2.39
H 0.7500 0.7500 0.7500  4 P 2.39, 4 Na 2.39
Na 0.0000 0.0000 0.0000  8 H 2.39
P 0.5000 0.5000 0.5000  8 H 2.39